# 1
# AgTe2P, relaxed, DFT GGA-PBE
data_AgTe2P
_cell_length_a 8.436
_cell_length_b 8.436
_cell_length_c 4.952
_cell_angle_alpha 90.00
_cell_angle_beta 90.00
_cell_angle_gamma 120.00
_space_group_name_H-M_alt 'P 1'
_space_group_IT_number 1
loop_
_space_group_symop_operation_xyz
'x,y,z'
loop_
_atom_site_label
_atom_site_fract_x
_atom_site_fract_y
_atom_site_fract_z
Ag1 0.333 0.667 0.206
Ag2 0.667 0.333 0.794
Ag3 0.000 0.000 0.000
Te1 0.816 0.184 0.198
Te2 0.184 0.368 0.802
Te3 0.368 0.184 0.198
Te4 0.632 0.816 0.802
Te5 0.816 0.632 0.198
Te6 0.184 0.816 0.802
P1 0.000 0.500 0.500
P2 0.500 0.500 0.500
P3 0.500 0.000 0.500
# **Formation energy without anion corrections**: 21 kJ/mol of atoms
# **DFT total energy**: -3.419 eV/atom
# **Spin magnetization**: 0.000 μB/cell
# **Volume**: 25.4 A^3/atom
# **Symmetry**: P-3m1, No. 164
# **Crystal system**: trigonal

=====

# 2
# AgTe2P, relaxed, DFT GGA-PBE
data_AgTe2P
_cell_length_a 4.027
_cell_length_b 3.060
_cell_length_c 8.668
_cell_angle_alpha 109.78
_cell_angle_beta 90.00
_cell_angle_gamma 90.00
_space_group_name_H-M_alt 'P 1'
_space_group_IT_number 1
loop_
_space_group_symop_operation_xyz
'x,y,z'
loop_
_atom_site_label
_atom_site_fract_x
_atom_site_fract_y
_atom_site_fract_z
P1 0.500 0.750 0.750
Te1 0.000 0.984 0.994
Te2 0.000 0.516 0.506
Ag1 0.500 0.250 0.250
# **Formation energy without anion corrections**: 23 kJ/mol of atoms
# **DFT total energy**: -3.399 eV/atom
# **Spin magnetization**: 0.000 μB/cell
# **Volume**: 25.1 A^3/atom
# **Symmetry**: P2/m, No. 10
# **Crystal system**: monoclinic

=====

# 3
# AgTeP2, relaxed, DFT GGA-PBE
data_AgTeP2
_cell_length_a 5.849
_cell_length_b 5.849
_cell_length_c 7.396
_cell_angle_alpha 66.71
_cell_angle_beta 66.71
_cell_angle_gamma 90.00
_space_group_name_H-M_alt 'P 1'
_space_group_IT_number 1
loop_
_space_group_symop_operation_xyz
'x,y,z'
loop_
_atom_site_label
_atom_site_fract_x
_atom_site_fract_y
_atom_site_fract_z
Te1 0.000 0.000 0.000
Te2 0.750 0.250 0.500
P1 0.375 0.400 0.750
P2 0.875 0.850 0.750
P3 0.150 0.625 0.250
P4 0.600 0.125 0.250
Ag1 0.250 0.750 0.500
Ag2 0.500 0.500 0.000
# **Formation energy without anion corrections**: 46 kJ/mol of atoms
# **DFT total energy**: -3.727 eV/atom
# **Spin magnetization**: 0.000 μB/cell
# **Volume**: 26.2 A^3/atom
# **Symmetry**: I-42d, No. 122
# **Crystal system**: tetragonal

=====

# 4
# AgTe2P, relaxed, DFT GGA-PBE
data_AgTe2P
_cell_length_a 3.291
_cell_length_b 3.291
_cell_length_c 9.688
_cell_angle_alpha 90.00
_cell_angle_beta 90.00
_cell_angle_gamma 112.58
_space_group_name_H-M_alt 'P 1'
_space_group_IT_number 1
loop_
_space_group_symop_operation_xyz
'x,y,z'
loop_
_atom_site_label
_atom_site_fract_x
_atom_site_fract_y
_atom_site_fract_z
Te1 0.000 0.000 0.943
Te2 0.500 0.500 0.297
P1 0.500 0.500 0.726
Ag1 0.000 0.000 0.534
# **Formation energy without anion corrections**: 42 kJ/mol of atoms
# **DFT total energy**: -3.201 eV/atom
# **Spin magnetization**: 0.000 μB/cell
# **Volume**: 24.2 A^3/atom
# **Symmetry**: Cmm2, No. 35
# **Crystal system**: orthorhombic

=====

# 5
# AgTe2P, relaxed, DFT GGA-PBE
data_AgTe2P
_cell_length_a 8.952
_cell_length_b 8.952
_cell_length_c 8.952
_cell_angle_alpha 155.04
_cell_angle_beta 155.04
_cell_angle_gamma 35.59
_space_group_name_H-M_alt 'P 1'
_space_group_IT_number 1
loop_
_space_group_symop_operation_xyz
'x,y,z'
loop_
_atom_site_label
_atom_site_fract_x
_atom_site_fract_y
_atom_site_fract_z
Te1 0.000 0.000 0.000
Te2 0.250 0.750 0.500
P1 0.750 0.250 0.500
Ag1 0.500 0.500 0.000
# **Formation energy without anion corrections**: 41 kJ/mol of atoms
# **DFT total energy**: -3.211 eV/atom
# **Spin magnetization**: 0.130 μB/cell
# **Volume**: 31.9 A^3/atom
# **Symmetry**: I-4m2, No. 119
# **Crystal system**: tetragonal

=====

# 6
# AgTeP2, relaxed, DFT GGA-PBE
data_AgTeP2
_cell_length_a 6.553
_cell_length_b 6.553
_cell_length_c 6.553
_cell_angle_alpha 34.54
_cell_angle_beta 34.54
_cell_angle_gamma 34.54
_space_group_name_H-M_alt 'P 1'
_space_group_IT_number 1
loop_
_space_group_symop_operation_xyz
'x,y,z'
loop_
_atom_site_label
_atom_site_fract_x
_atom_site_fract_y
_atom_site_fract_z
P1 0.493 0.493 0.493
P2 0.007 0.007 0.007
Ag1 0.750 0.750 0.750
Te1 0.250 0.250 0.250
# **Formation energy without anion corrections**: 33 kJ/mol of atoms
# **DFT total energy**: -3.860 eV/atom
# **Spin magnetization**: 0.000 μB/cell
# **Volume**: 20.2 A^3/atom
# **Symmetry**: R-3m, No. 166
# **Crystal system**: trigonal

=====

# 7
# Ag3TeP, relaxed, DFT GGA-PBE
data_Ag3TeP
_cell_length_a 4.861
_cell_length_b 4.861
_cell_length_c 4.861
_cell_angle_alpha 90.00
_cell_angle_beta 90.00
_cell_angle_gamma 90.00
_space_group_name_H-M_alt 'P 1'
_space_group_IT_number 1
loop_
_space_group_symop_operation_xyz
'x,y,z'
loop_
_atom_site_label
_atom_site_fract_x
_atom_site_fract_y
_atom_site_fract_z
Ag1 0.000 0.000 0.500
Ag2 0.500 0.000 0.000
Ag3 0.000 0.500 0.000
P1 0.000 0.000 0.000
Te1 0.500 0.500 0.500
# **Formation energy without anion corrections**: 29 kJ/mol of atoms
# **DFT total energy**: -3.118 eV/atom
# **Spin magnetization**: 0.000 μB/cell
# **Volume**: 23.0 A^3/atom
# **Symmetry**: Pm-3m, No. 221
# **Crystal system**: cubic

=====

# 8
# AgTeP2, relaxed, DFT GGA-PBE
data_AgTeP2
_cell_length_a 3.790
_cell_length_b 3.790
_cell_length_c 6.648
_cell_angle_alpha 90.00
_cell_angle_beta 90.00
_cell_angle_gamma 120.00
_space_group_name_H-M_alt 'P 1'
_space_group_IT_number 1
loop_
_space_group_symop_operation_xyz
'x,y,z'
loop_
_atom_site_label
_atom_site_fract_x
_atom_site_fract_y
_atom_site_fract_z
P1 0.333 0.667 0.264
P2 0.667 0.333 0.736
Ag1 0.000 0.000 0.500
Te1 0.000 0.000 0.000
# **Formation energy without anion corrections**: 39 kJ/mol of atoms
# **DFT total energy**: -3.796 eV/atom
# **Spin magnetization**: 0.000 μB/cell
# **Volume**: 20.7 A^3/atom
# **Symmetry**: P-3m1, No. 164
# **Crystal system**: trigonal

=====

# 9
# Ag5Te6P, relaxed, DFT GGA-PBE
data_Ag5Te6P
_cell_length_a 7.168
_cell_length_b 7.255
_cell_length_c 7.149
_cell_angle_alpha 59.51
_cell_angle_beta 79.80
_cell_angle_gamma 69.58
_space_group_name_H-M_alt 'P 1'
_space_group_IT_number 1
loop_
_space_group_symop_operation_xyz
'x,y,z'
loop_
_atom_site_label
_atom_site_fract_x
_atom_site_fract_y
_atom_site_fract_z
Ag1 0.500 0.160 0.680
Ag2 0.000 0.672 0.656
Ag3 0.000 0.328 0.344
Ag4 0.500 0.500 0.000
Ag5 0.500 0.840 0.320
Te1 0.218 0.257 0.000
Te2 0.743 0.068 0.321
Te3 0.782 0.743 0.000
Te4 0.257 0.611 0.321
Te5 0.257 0.932 0.679
Te6 0.743 0.389 0.679
P1 0.000 0.000 0.000
# **Formation energy without anion corrections**: 3 kJ/mol of atoms
# **DFT total energy**: -3.180 eV/atom
# **Spin magnetization**: 0.000 μB/cell
# **Volume**: 25.0 A^3/atom
# **Symmetry**: C2/m, No. 12
# **Crystal system**: monoclinic

=====

# 10
# AgTe2P, relaxed, DFT GGA-PBE
data_AgTe2P
_cell_length_a 3.875
_cell_length_b 7.695
_cell_length_c 3.898
_cell_angle_alpha 90.00
_cell_angle_beta 90.00
_cell_angle_gamma 90.00
_space_group_name_H-M_alt 'P 1'
_space_group_IT_number 1
loop_
_space_group_symop_operation_xyz
'x,y,z'
loop_
_atom_site_label
_atom_site_fract_x
_atom_site_fract_y
_atom_site_fract_z
Ag1 0.500 0.000 0.500
Te1 0.500 0.500 0.000
Te2 0.000 0.000 0.000
P1 0.000 0.500 0.500
# **Formation energy without anion corrections**: 40 kJ/mol of atoms
# **DFT total energy**: -3.220 eV/atom
# **Spin magnetization**: 0.000 μB/cell
# **Volume**: 29.1 A^3/atom
# **Symmetry**: Pmmm, No. 47
# **Crystal system**: orthorhombic

=====

# 11
# Ag2TeP4, relaxed, DFT GGA-PBE
data_Ag2TeP4
_cell_length_a 5.124
_cell_length_b 5.124
_cell_length_c 7.277
_cell_angle_alpha 69.39
_cell_angle_beta 69.39
_cell_angle_gamma 90.00
_space_group_name_H-M_alt 'P 1'
_space_group_IT_number 1
loop_
_space_group_symop_operation_xyz
'x,y,z'
loop_
_atom_site_label
_atom_site_fract_x
_atom_site_fract_y
_atom_site_fract_z
P1 0.793 0.793 0.414
P2 0.207 0.207 0.586
P3 0.500 0.000 0.000
P4 0.000 0.500 0.000
Ag1 0.606 0.606 0.788
Ag2 0.394 0.394 0.212
Te1 0.000 0.000 0.000
# **Formation energy without anion corrections**: 101 kJ/mol of atoms
# **DFT total energy**: -3.309 eV/atom
# **Spin magnetization**: 0.000 μB/cell
# **Volume**: 23.7 A^3/atom
# **Symmetry**: I4/mmm, No. 139
# **Crystal system**: tetragonal

=====

# 12
# AgTe2P, relaxed, DFT GGA-PBE
data_AgTe2P
_cell_length_a 4.664
_cell_length_b 4.664
_cell_length_c 7.925
_cell_angle_alpha 90.00
_cell_angle_beta 90.00
_cell_angle_gamma 132.16
_space_group_name_H-M_alt 'P 1'
_space_group_IT_number 1
loop_
_space_group_symop_operation_xyz
'x,y,z'
loop_
_atom_site_label
_atom_site_fract_x
_atom_site_fract_y
_atom_site_fract_z
Te1 0.000 0.000 0.984
Te2 0.000 0.000 0.516
P1 0.500 0.500 0.750
Ag1 0.500 0.500 0.250
# **Formation energy without anion corrections**: 37 kJ/mol of atoms
# **DFT total energy**: -3.248 eV/atom
# **Spin magnetization**: 0.000 μB/cell
# **Volume**: 32.0 A^3/atom
# **Symmetry**: Cmmm, No. 65
# **Crystal system**: orthorhombic

=====

# 13
# AgTeP, relaxed, DFT GGA-PBE
data_AgTeP
_cell_length_a 4.684
_cell_length_b 4.684
_cell_length_c 4.684
_cell_angle_alpha 60.00
_cell_angle_beta 60.00
_cell_angle_gamma 60.00
_space_group_name_H-M_alt 'P 1'
_space_group_IT_number 1
loop_
_space_group_symop_operation_xyz
'x,y,z'
loop_
_atom_site_label
_atom_site_fract_x
_atom_site_fract_y
_atom_site_fract_z
Te1 0.000 0.000 0.000
P1 0.750 0.750 0.750
Ag1 0.500 0.500 0.500
# **Formation energy without anion corrections**: 49 kJ/mol of atoms
# **DFT total energy**: -3.290 eV/atom
# **Spin magnetization**: 0.000 μB/cell
# **Volume**: 24.2 A^3/atom
# **Symmetry**: F-43m, No. 216
# **Crystal system**: cubic

=====

# 14
# AgTeP, relaxed, DFT GGA-PBE
data_AgTeP
_cell_length_a 6.524
_cell_length_b 6.524
_cell_length_c 6.524
_cell_angle_alpha 152.63
_cell_angle_beta 142.60
_cell_angle_gamma 46.96
_space_group_name_H-M_alt 'P 1'
_space_group_IT_number 1
loop_
_space_group_symop_operation_xyz
'x,y,z'
loop_
_atom_site_label
_atom_site_fract_x
_atom_site_fract_y
_atom_site_fract_z
Ag1 0.912 0.912 0.000
Te1 0.649 0.649 0.000
P1 0.440 0.440 0.000
# **Formation energy without anion corrections**: 23 kJ/mol of atoms
# **DFT total energy**: -3.566 eV/atom
# **Spin magnetization**: 0.000 μB/cell
# **Volume**: 25.8 A^3/atom
# **Symmetry**: Imm2, No. 44
# **Crystal system**: orthorhombic

=====

# 15
# AgTeP2, relaxed, DFT GGA-PBE
data_AgTeP2
_cell_length_a 7.484
_cell_length_b 7.484
_cell_length_c 7.484
_cell_angle_alpha 155.54
_cell_angle_beta 149.74
_cell_angle_gamma 39.29
_space_group_name_H-M_alt 'P 1'
_space_group_IT_number 1
loop_
_space_group_symop_operation_xyz
'x,y,z'
loop_
_atom_site_label
_atom_site_fract_x
_atom_site_fract_y
_atom_site_fract_z
Te1 0.436 0.436 0.000
P1 0.192 0.692 0.500
P2 0.087 0.087 0.000
Ag1 0.785 0.285 0.500
# **Formation energy without anion corrections**: 22 kJ/mol of atoms
# **DFT total energy**: -3.973 eV/atom
# **Spin magnetization**: 0.000 μB/cell
# **Volume**: 21.8 A^3/atom
# **Symmetry**: Imm2, No. 44
# **Crystal system**: orthorhombic

=====

# 16
# AgTeP2, relaxed, DFT GGA-PBE
data_AgTeP2
_cell_length_a 4.783
_cell_length_b 4.783
_cell_length_c 4.783
_cell_angle_alpha 60.00
_cell_angle_beta 60.00
_cell_angle_gamma 60.00
_space_group_name_H-M_alt 'P 1'
_space_group_IT_number 1
loop_
_space_group_symop_operation_xyz
'x,y,z'
loop_
_atom_site_label
_atom_site_fract_x
_atom_site_fract_y
_atom_site_fract_z
Te1 0.750 0.750 0.750
Ag1 0.500 0.500 0.500
P1 0.250 0.250 0.250
P2 0.000 0.000 0.000
# **Formation energy without anion corrections**: 66 kJ/mol of atoms
# **DFT total energy**: -3.518 eV/atom
# **Spin magnetization**: 0.000 μB/cell
# **Volume**: 19.3 A^3/atom
# **Symmetry**: F-43m, No. 216
# **Crystal system**: cubic

=====

# 17
# AgTeP2, relaxed, DFT GGA-PBE
data_AgTeP2
_cell_length_a 2.844
_cell_length_b 2.844
_cell_length_c 11.342
_cell_angle_alpha 90.00
_cell_angle_beta 90.00
_cell_angle_gamma 90.00
_space_group_name_H-M_alt 'P 1'
_space_group_IT_number 1
loop_
_space_group_symop_operation_xyz
'x,y,z'
loop_
_atom_site_label
_atom_site_fract_x
_atom_site_fract_y
_atom_site_fract_z
Ag1 0.500 0.500 0.750
Te1 0.500 0.500 0.250
P1 0.000 0.000 0.925
P2 0.000 0.000 0.575
# **Formation energy without anion corrections**: 58 kJ/mol of atoms
# **DFT total energy**: -3.599 eV/atom
# **Spin magnetization**: 0.000 μB/cell
# **Volume**: 22.9 A^3/atom
# **Symmetry**: P4/mmm, No. 123
# **Crystal system**: tetragonal

=====

# 18
# AgTeP2, relaxed, DFT GGA-PBE
data_AgTeP2
_cell_length_a 5.806
_cell_length_b 5.806
_cell_length_c 5.806
_cell_angle_alpha 143.26
_cell_angle_beta 135.56
_cell_angle_gamma 58.97
_space_group_name_H-M_alt 'P 1'
_space_group_IT_number 1
loop_
_space_group_symop_operation_xyz
'x,y,z'
loop_
_atom_site_label
_atom_site_fract_x
_atom_site_fract_y
_atom_site_fract_z
Te1 0.250 0.750 0.500
P1 0.034 0.034 0.000
P2 0.466 0.466 0.000
Ag1 0.750 0.250 0.500
# **Formation energy without anion corrections**: 62 kJ/mol of atoms
# **DFT total energy**: -3.562 eV/atom
# **Spin magnetization**: 0.000 μB/cell
# **Volume**: 20.3 A^3/atom
# **Symmetry**: Immm, No. 71
# **Crystal system**: orthorhombic

=====

# 19
# AgTe2P, relaxed, DFT GGA-PBE
data_AgTe2P
_cell_length_a 6.685
_cell_length_b 6.685
_cell_length_c 5.235
_cell_angle_alpha 90.00
_cell_angle_beta 90.00
_cell_angle_gamma 90.00
_space_group_name_H-M_alt 'P 1'
_space_group_IT_number 1
loop_
_space_group_symop_operation_xyz
'x,y,z'
loop_
_atom_site_label
_atom_site_fract_x
_atom_site_fract_y
_atom_site_fract_z
Ag1 0.000 0.000 0.000
Ag2 0.500 0.500 0.000
P1 0.000 0.500 0.426
P2 0.500 0.000 0.574
Te1 0.716 0.216 0.278
Te2 0.216 0.284 0.722
Te3 0.784 0.716 0.722
Te4 0.284 0.784 0.278
# **Formation energy without anion corrections**: 10 kJ/mol of atoms
# **DFT total energy**: -3.534 eV/atom
# **Spin magnetization**: 0.000 μB/cell
# **Volume**: 29.2 A^3/atom
# **Symmetry**: P-42_1m, No. 113
# **Crystal system**: tetragonal

=====

# 20
# AgTeP2, relaxed, DFT GGA-PBE
data_AgTeP2
_cell_length_a 9.559
_cell_length_b 9.559
_cell_length_c 9.559
_cell_angle_alpha 19.95
_cell_angle_beta 19.95
_cell_angle_gamma 19.95
_space_group_name_H-M_alt 'P 1'
_space_group_IT_number 1
loop_
_space_group_symop_operation_xyz
'x,y,z'
loop_
_atom_site_label
_atom_site_fract_x
_atom_site_fract_y
_atom_site_fract_z
P1 0.994 0.994 0.994
P2 0.284 0.284 0.284
Ag1 0.737 0.737 0.737
Te1 0.486 0.486 0.486
# **Formation energy without anion corrections**: 15 kJ/mol of atoms
# **DFT total energy**: -4.049 eV/atom
# **Spin magnetization**: 0.000 μB/cell
# **Volume**: 22.2 A^3/atom
# **Symmetry**: R3m, No. 160
# **Crystal system**: trigonal